(1)
DFT (PBE) results for a relaxed MgNb2Te crystal.

calculated density	6.68	g cm⁻³
total magnetization	0.00	μB/f.u.

abc: 4.0270 4.0270 20.7224
angles: 90.00 90.00 90.00
Space group I-42d (No. 122)
Symmetry-distinct sites (fractional):
1 Mg 0.0000 0.0000 0.0000 (multiplicity 4)
2 Nb 0.2437 0.2500 0.1250 (multiplicity 8)
3 Te 0.0000 0.0000 0.5000 (multiplicity 4)



(2)
DFT (PBE) results for a relaxed MgNb3Te crystal.

calculated density	5.53	g cm⁻³
total magnetization	0.00	μB/f.u.

abc: 5.0559 5.0559 5.0559
angles: 90.00 90.00 90.00
Space group Pm-3m (No. 221)
Symmetry-distinct sites (fractional):
1 Mg 0.0000 0.0000 0.0000 (multiplicity 1)
2 Nb 0.0000 0.5000 0.5000 (multiplicity 3)
3 Te 0.5000 0.5000 0.5000 (multiplicity 1)



(3)
DFT (PBE) results for a relaxed Mg3NbTe crystal.

calculated density	3.23	g cm⁻³
total magnetization	3.27	μB/f.u.

abc: 5.3258 5.3258 5.3258
angles: 90.00 90.00 90.00
Space group Pm-3m (No. 221)
Symmetry-distinct sites (fractional):
1 Mg 0.0000 0.0000 0.5000 (multiplicity 3)
2 Nb 0.5000 0.5000 0.5000 (multiplicity 1)
3 Te 0.0000 0.0000 0.0000 (multiplicity 1)



What total DFT energy (no corrections) values result from the calculations? In sequence: -5.96, -5.76, -2.63 eV/atom.
What raw formation energy values result from the calculations? In sequence: 255.5, 1224.3, 973.0 meV per atom.